Entry from the Alexandria database: a relaxed structure of AcPmAlIn (PBE).

Values from the calculation:
Symmetry   F-43m
N(E_F)   0.438 states/eV per atom
Calculated total energy   -66.695 eV/cell

Lattice parameters (Å, degrees): 7.8320 7.8320 7.8320 90.00 90.00 90.00
Closest atoms and distances in Å follow each position.
Positions (direct):
Ac1 0.0000 0.0000 0.0000  4 In 3.39, 4 Al 3.39
Ac2 0.0000 0.5000 0.5000  4 In 3.39, 4 Al 3.39
Ac3 0.5000 0.0000 0.5000  4 In 3.39, 4 Al 3.39
Ac4 0.5000 0.5000 0.0000  4 In 3.39, 4 Al 3.39
Pm1 0.0000 0.0000 0.5000  4 Al 3.39, 4 In 3.39
Pm2 0.0000 0.5000 0.0000  4 Al 3.39, 4 In 3.39
Pm3 0.5000 0.0000 0.0000  4 Al 3.39, 4 In 3.39
Pm4 0.5000 0.5000 0.5000  4 In 3.39, 4 Al 3.39
Al1 0.2500 0.2500 0.7500  4 Ac 3.39, 4 Pm 3.39
Al2 0.2500 0.7500 0.2500  4 Ac 3.39, 4 Pm 3.39
Al3 0.7500 0.2500 0.2500  4 Ac 3.39, 4 Pm 3.39
Al4 0.7500 0.7500 0.7500  4 Ac 3.39, 4 Pm 3.39
In1 0.2500 0.2500 0.2500  4 Ac 3.39, 4 Pm 3.39
In2 0.2500 0.7500 0.7500  4 Ac 3.39, 4 Pm 3.39
In3 0.7500 0.2500 0.7500  4 Ac 3.39, 4 Pm 3.39
In4 0.7500 0.7500 0.2500  4 Ac 3.39, 4 Pm 3.39